(1)
CsMgAl2Cl8 after structural relaxation. Source: Alexandria, functional GGA-PBE.

a = 6.734 Å, b = 6.734 Å, c = 10.663 Å
α = 71.59°, β = 71.59°, γ = 60.00°
Last column: magnetic moment on the atom in μB.
Fractional coordinates of all 12 atoms:
Cs 0.500 0.500 0.500  0.00
Cl 0.961 0.571 0.180  0.02
Cl 0.039 0.429 0.820  0.02
Cl 0.571 0.288 0.180  0.02
Cl 0.712 0.039 0.820  0.02
Cl 0.288 0.961 0.180  0.02
Cl 0.822 0.822 0.533  0.01
Cl 0.429 0.712 0.820  0.02
Cl 0.178 0.178 0.467  0.01
Al 0.250 0.250 0.249  0.01
Al 0.750 0.750 0.751  0.01
Mg 0.000 0.000 0.000  0.21

Summary:
Total moment = 1.00 μB per formula unit
Formation energy from raw total energies = -18.30 eV per formula unit
DFT total energy = -43.00 eV/cell

---

(2)
K3Rb2LiCl6 after structural relaxation. Source: Alexandria, functional GGA-PBE.

a = 7.838 Å, b = 7.838 Å, c = 7.695 Å
α = 99.41°, β = 99.41°, γ = 119.98°
Fractional coordinates of all 12 atoms:
K 0.835 0.165 0.500
K 0.165 0.835 0.500
K 0.500 0.500 0.500
Li 0.000 0.000 0.000
Rb 0.670 0.330 0.000
Rb 0.330 0.670 0.000
Cl 0.809 0.809 0.201
Cl 0.589 0.908 0.737
Cl 0.411 0.092 0.263
Cl 0.092 0.411 0.263
Cl 0.191 0.191 0.799
Cl 0.908 0.589 0.737

Summary:
Total moment = 0.00 μB per formula unit
Formation energy from raw total energies = -22.52 eV per formula unit
DFT total energy = -40.74 eV/cell

---

(3)
MnAl after structural relaxation. Source: Alexandria, functional GGA-PBE.

a = 4.999 Å, b = 4.999 Å, c = 6.357 Å
α = 74.56°, β = 74.56°, γ = 32.03°
Last column: magnetic moment on the atom in μB.
Fractional coordinates of all 6 atoms:
Al 0.979 0.979 0.005  -0.04
Al 0.676 0.676 0.670  -0.06
Al 0.617 0.617 0.271  -0.06
Mn 0.271 0.271 0.942  2.30
Mn 0.957 0.957 0.600  2.55
Mn 0.331 0.331 0.345  2.41

Summary:
Total moment = 2.37 μB per formula unit
Energy relative to the elements = -0.137 eV/atom
DFT total energy = -39.56 eV/cell

---

(4)
ZnCr2Au after structural relaxation. Source: Alexandria, functional GGA-PBE.

a = 4.903 Å, b = 4.903 Å, c = 2.612 Å
α = 90.07°, β = 90.07°, γ = 117.64°
Fractional coordinates of all 4 atoms:
Cr 0.500 0.500 0.000
Cr 0.000 0.000 0.000
Au 0.000 0.500 0.500
Zn 0.500 0.000 0.500

Summary:
Total moment = 0.00 μB per formula unit
Energy relative to the elements = 0.361 eV/atom
DFT total energy = -22.35 eV/cell

---

Please write out number 4 again, unchanged.
ZnCr2Au after structural relaxation. Source: Alexandria, functional GGA-PBE.

a = 4.903 Å, b = 4.903 Å, c = 2.612 Å
α = 90.07°, β = 90.07°, γ = 117.64°
Fractional coordinates of all 4 atoms:
Cr 0.500 0.500 0.000
Cr 0.000 0.000 0.000
Au 0.000 0.500 0.500
Zn 0.500 0.000 0.500

Summary:
Total moment = 0.00 μB per formula unit
Energy relative to the elements = 0.361 eV/atom
DFT total energy = -22.35 eV/cell